# 1
A plane-wave DFT calculation with PBE was carried out for crystalline Sr3Br at its relaxed geometry.

a = 6.7993 Å, b = 7.7588 Å, c = 7.8807 Å
α = 90.00°, β = 90.00°, γ = 90.00°
Space group Pmmn (No. 59, origin choice 2)
Inequivalent atoms, fractional coordinates:
Sr1 0.2500 0.0002 0.1243 [4 per cell]
Sr2 0.2500 0.2500 0.6267 [2 per cell]
Br1 0.2500 0.7500 0.4474 [2 per cell]

=====

# 2
A plane-wave DFT calculation with PBE was carried out for crystalline Sr3Br at its relaxed geometry.

a = 4.2218 Å, b = 4.2218 Å, c = 11.6598 Å
α = 90.00°, β = 90.00°, γ = 120.00°
Space group P-6m2 (No. 187)
Inequivalent atoms, fractional coordinates:
Sr1 0.0000 0.0000 0.0000 [1 per cell]
Sr2 0.6667 0.3333 0.2935 [2 per cell]
Br1 0.0000 0.0000 0.5000 [1 per cell]

=====

# 3
A plane-wave DFT calculation with PBE was carried out for crystalline Sr6Br7 at its relaxed geometry.

a = 7.2378 Å, b = 7.2378 Å, c = 34.0407 Å
α = 90.00°, β = 90.00°, γ = 120.00°
Space group R-3m (No. 166, hexagonal axes)
Inequivalent atoms, fractional coordinates:
Sr1 0.0000 0.0000 0.0677 [6 per cell]
Sr2 0.0000 0.0000 0.1961 [6 per cell]
Sr3 0.0000 0.0000 0.3333 [6 per cell]
Br1 0.0000 0.0000 0.5000 [3 per cell]
Br2 0.9999 0.5000 0.0655 [18 per cell]

=====

# 4
A plane-wave DFT calculation with PBE was carried out for crystalline SrBr2 at its relaxed geometry.

a = 3.8782 Å, b = 3.8782 Å, c = 30.0770 Å
α = 90.00°, β = 90.00°, γ = 90.00°
Space group I4_1/amd (No. 141, origin choice 2)
Inequivalent atoms, fractional coordinates:
Sr1 0.0000 0.2500 0.3750 [4 per cell]
Br1 0.0000 0.2500 0.8175 [8 per cell]

=====

# 5
A plane-wave DFT calculation with PBE was carried out for crystalline SrBr3 at its relaxed geometry.

a = 4.4029 Å, b = 8.7274 Å, c = 7.4742 Å
α = 90.00°, β = 90.00°, γ = 90.00°
Space group Imm2 (No. 44)
Inequivalent atoms, fractional coordinates:
Sr1 0.0000 0.0000 0.0000 [2 per cell]
Br1 0.0000 0.3229 0.2753 [4 per cell]
Br2 0.0000 0.5000 0.7817 [2 per cell]

=====

# 6
A plane-wave DFT calculation with PBE was carried out for crystalline Sr3Br at its relaxed geometry.

a = 4.2527 Å, b = 4.1098 Å, c = 11.1547 Å
α = 90.00°, β = 90.47°, γ = 90.00°
Space group P2/m (No. 10)
Inequivalent atoms, fractional coordinates:
Sr1 0.0000 0.0000 0.0000 [1 per cell]
Sr2 0.4937 0.5000 0.7225 [2 per cell]
Br1 0.5000 0.0000 0.5000 [1 per cell]

=====

# 7
A plane-wave DFT calculation with PBE was carried out for crystalline SrBr2 at its relaxed geometry.

a = 15.2443 Å, b = 4.1213 Å, c = 9.2722 Å
α = 90.00°, β = 126.41°, γ = 90.00°
Space group C2/m (No. 12)
Inequivalent atoms, fractional coordinates:
Sr1 0.0982 0.0000 0.2512 [4 per cell]
Br1 0.1113 0.5000 0.9934 [4 per cell]
Br2 0.1501 0.5000 0.5308 [4 per cell]

=====

# 8
A plane-wave DFT calculation with PBE was carried out for crystalline SrBr3 at its relaxed geometry.

a = 6.6927 Å, b = 6.6927 Å, c = 6.0880 Å
α = 90.00°, β = 90.00°, γ = 120.00°
Space group P6_3/mmc (No. 194)
Inequivalent atoms, fractional coordinates:
Sr1 0.3333 0.6667 0.2500 [2 per cell]
Br1 0.1712 0.3423 0.7500 [6 per cell]

=====

# 9
A plane-wave DFT calculation with PBE was carried out for crystalline Sr3Br at its relaxed geometry.

a = 8.2289 Å, b = 15.2680 Å, c = 7.2272 Å
α = 90.00°, β = 90.00°, γ = 90.00°
Space group Cmcm (No. 63)
Inequivalent atoms, fractional coordinates:
Sr1 0.0000 0.0776 0.2500 [4 per cell]
Sr2 0.2492 0.1720 0.7500 [8 per cell]
Br1 0.0000 0.4672 0.2500 [4 per cell]

=====

# 10
A plane-wave DFT calculation with PBE was carried out for crystalline Sr3Br2 at its relaxed geometry.

a = 12.8389 Å, b = 13.9713 Å, c = 9.2403 Å
α = 90.00°, β = 90.00°, γ = 90.00°
Space group Fdd2 (No. 43)
Inequivalent atoms, fractional coordinates:
Sr1 0.0000 0.0000 0.0000 [8 per cell]
Sr2 0.0785 0.2239 0.6145 [16 per cell]
Br1 0.1134 0.4256 0.1882 [16 per cell]

=====

# 11
A plane-wave DFT calculation with PBE was carried out for crystalline SrBr2 at its relaxed geometry.

a = 8.2435 Å, b = 8.2435 Å, c = 4.7359 Å
α = 90.00°, β = 90.00°, γ = 120.00°
Space group P-62m (No. 189)
Inequivalent atoms, fractional coordinates:
Sr1 0.0000 0.0000 0.0000 [1 per cell]
Sr2 0.3333 0.6667 0.5000 [2 per cell]
Br1 0.0000 0.2580 0.5000 [3 per cell]
Br2 0.0000 0.5935 0.0000 [3 per cell]

=====

# 12
A plane-wave DFT calculation with PBE was carried out for crystalline Sr4Br5 at its relaxed geometry.

a = 10.5053 Å, b = 10.5053 Å, c = 5.6050 Å
α = 90.00°, β = 90.00°, γ = 90.00°
Space group I4/mmm (No. 139)
Inequivalent atoms, fractional coordinates:
Sr1 0.0000 0.2918 0.0000 [8 per cell]
Br1 0.0000 0.0000 0.0000 [2 per cell]
Br2 0.1834 0.1834 0.5000 [8 per cell]

=====

# 13
A plane-wave DFT calculation with PBE was carried out for crystalline Sr3Br at its relaxed geometry.

a = 4.0144 Å, b = 4.0490 Å, c = 11.3948 Å
α = 90.00°, β = 90.00°, γ = 90.00°
Space group Pmm2 (No. 25)
Inequivalent atoms, fractional coordinates:
Sr1 0.0000 0.0000 0.0000 [1 per cell]
Sr2 0.0000 0.5000 0.4118 [1 per cell]
Sr3 0.5000 0.5000 0.7252 [1 per cell]
Br1 0.5000 0.0000 0.2422 [1 per cell]

=====

# 14
A plane-wave DFT calculation with PBE was carried out for crystalline SrBr3 at its relaxed geometry.

a = 5.8131 Å, b = 4.8464 Å, c = 5.8276 Å
α = 90.00°, β = 119.75°, γ = 90.00°
Space group P2/m (No. 10)
Inequivalent atoms, fractional coordinates:
Sr1 0.0000 0.0000 0.0000 [1 per cell]
Br1 0.2184 0.5000 0.7814 [2 per cell]
Br2 0.5000 0.0000 0.5000 [1 per cell]

=====

# 15
A plane-wave DFT calculation with PBE was carried out for crystalline SrBr2 at its relaxed geometry.

a = 8.0176 Å, b = 4.9121 Å, c = 9.7216 Å
α = 90.00°, β = 90.00°, γ = 90.00°
Space group Pnma (No. 62)
Inequivalent atoms, fractional coordinates:
Sr1 0.2414 0.2500 0.1006 [4 per cell]
Br1 0.0092 0.2500 0.8406 [4 per cell]
Br2 0.1403 0.2500 0.4171 [4 per cell]

=====

# 16
A plane-wave DFT calculation with PBE was carried out for crystalline SrBr3 at its relaxed geometry.

a = 4.5090 Å, b = 4.5090 Å, c = 26.5815 Å
α = 90.00°, β = 90.00°, γ = 90.00°
Space group I4/mmm (No. 139)
Inequivalent atoms, fractional coordinates:
Sr1 0.0000 0.0000 0.1675 [4 per cell]
Br1 0.0000 0.0000 0.3677 [4 per cell]
Br2 0.0000 0.5000 0.0000 [4 per cell]
Br3 0.0000 0.5000 0.2500 [4 per cell]

=====

# 17
A plane-wave DFT calculation with PBE was carried out for crystalline Sr3Br at its relaxed geometry.

a = 12.6129 Å, b = 12.6129 Å, c = 4.1202 Å
α = 90.00°, β = 90.00°, γ = 120.00°
Space group R-3m (No. 166, hexagonal axes)
Inequivalent atoms, fractional coordinates:
Sr1 0.0000 0.5000 0.0000 [9 per cell]
Br1 0.0000 0.0000 0.0000 [3 per cell]

=====

# 18
A plane-wave DFT calculation with PBE was carried out for crystalline Sr3Br at its relaxed geometry.

a = 6.7107 Å, b = 6.7107 Å, c = 4.2599 Å
α = 90.00°, β = 90.00°, γ = 90.00°
Space group P4/mmm (No. 123)
Inequivalent atoms, fractional coordinates:
Sr1 0.0000 0.0000 0.0000 [1 per cell]
Sr2 0.0000 0.5000 0.5000 [2 per cell]
Br1 0.5000 0.5000 0.0000 [1 per cell]

=====

# 19
A plane-wave DFT calculation with PBE was carried out for crystalline Sr3Br4 at its relaxed geometry.

a = 7.1709 Å, b = 7.1709 Å, c = 5.8401 Å
α = 90.00°, β = 90.00°, γ = 120.00°
Space group P6/mmm (No. 191)
Inequivalent atoms, fractional coordinates:
Sr1 0.0000 0.5000 0.0000 [3 per cell]
Br1 0.0000 0.0000 0.2513 [2 per cell]
Br2 0.3333 0.6667 0.5000 [2 per cell]

=====

# 20
A plane-wave DFT calculation with PBE was carried out for crystalline Sr4Br3 at its relaxed geometry.

a = 4.1366 Å, b = 4.1366 Å, c = 31.6448 Å
α = 90.00°, β = 90.00°, γ = 90.00°
Space group I4/mmm (No. 139)
Inequivalent atoms, fractional coordinates:
Sr1 0.0000 0.0000 0.0707 [4 per cell]
Sr2 0.0000 0.0000 0.3307 [4 per cell]
Br1 0.0000 0.0000 0.2106 [4 per cell]
Br2 0.0000 0.0000 0.5000 [2 per cell]

=====

Calculated total energy in order - -2.117; -2.399; -3.090; -3.622; -3.059; -2.370; -3.686; -2.937; -2.173; -2.784; -3.758; -3.267; -2.289; -3.071; -3.771; -2.997; -2.115; -2.092; -2.679; -2.883 eV per atom
Calculated uncorrected formation energy in order - -1.8; -2.9; -18.4; -5.8; -5.5; -2.8; -6.0; -5.0; -2.0; -5.5; -6.2; -14.3; -2.4; -5.6; -6.3; -5.3; -1.7; -1.7; -7.0; -8.4 eV/f.u.